VASP calculation (meta-GGA SCAN) on a crystal of Zr2Si2Rh relaxed with PBEsol.

Calculated values
Formation energy from raw total energies in eV/atom: -1.090
Spin magnetization in μB/f.u.: 0.0

abc: 4.154 6.262 6.262
angles: 90.00 90.00 90.00
Fractional coordinates of all 10 atoms:
Si 0.000 0.364 0.864
Si 0.000 0.864 0.636
Si 0.000 0.636 0.136
Si 0.000 0.136 0.364
Rh 0.000 0.000 0.000
Rh 0.000 0.500 0.500
Zr 0.500 0.169 0.669
Zr 0.500 0.669 0.831
Zr 0.500 0.831 0.331
Zr 0.500 0.331 0.169

VASP calculation (meta-GGA SCAN) on a crystal of Sm3Rh relaxed with PBEsol.

Calculated values
Energy of formation in eV per atom: -0.5437
Spin magnetization in μB/f.u.: 0.0

abc: 6.278 7.143 9.625
angles: 90.00 90.00 90.00
Fractional coordinates of all 16 atoms:
Sm 0.332 0.677 0.064
Sm 0.168 0.177 0.436
Sm 0.668 0.323 0.564
Sm 0.832 0.823 0.936
Sm 0.668 0.323 0.936
Sm 0.832 0.823 0.564
Sm 0.332 0.677 0.436
Sm 0.168 0.177 0.064
Sm 0.858 0.534 0.250
Sm 0.642 0.034 0.250
Sm 0.142 0.466 0.750
Sm 0.358 0.966 0.750
Rh 0.067 0.880 0.250
Rh 0.433 0.380 0.250
Rh 0.933 0.120 0.750
Rh 0.567 0.620 0.750

Calculated volume? In order: 163, 432 Å³ per cell.